TlIn2Au6 after structural relaxation. Source: Alexandria via LeMat-Bulk, functional PBE.

The structure belongs to space group C2/c (No. 15); the cell edges are 19.222, 8.962 and 4.463 Å and the angles 90.00°, 91.38° and 90.00°. The asymmetric unit holds Tl at (0.000, 0.159, 0.250), In at (0.165, 0.337, 0.386), Au at (0.068, 0.400, 0.890), Au at (0.114, 0.102, 0.736) and Au at (0.239, 0.101, 0.112).

The calculation puts the density at 14.0 g cm⁻³. The value obtained for the calculated volume is 21.3 Å³/atom. As for the formation energy: -0.649 eV per formula unit. The value obtained for the total energy is -112.62 eV/cell. The value obtained for the density of states at the Fermi level is 0.299 states/eV/atom. Its crystal system is monoclinic.